AcErZnRh after structural relaxation, computed with PBE.

Results
Mass density, g/cm³: 9.6
Symmetry: F-43m, No. 216
M_tot, μB per cell: 0.00
ΔE_f, meV per atom: -437
Density of states at the Fermi level, states/eV/f.u.: 2.3

Unit cell a=5.1545 b=5.1545 c=5.1545 alpha=60.00 beta=60.00 gamma=60.00
Closest atoms and distances in Å follow each position.
Atoms (fractional coordinates):
1 Ac 0.7500 0.7500 0.7500  4 Rh 3.16, 4 Zn 3.16
2 Rh 0.5000 0.5000 0.5000  4 Ac 3.16, 4 Er 3.16
3 Zn 0.0000 0.0000 0.0000  4 Ac 3.16, 4 Er 3.16
4 Er 0.2500 0.2500 0.2500  4 Rh 3.16, 4 Zn 3.16